# 1
A plane-wave DFT calculation with PBE-GGA was carried out for a relaxed structure of Sr2LiHg.

```
4
Lattice="-1.2791 -2.3138 4.3724 2.5145 -3.3514 2.9246 3.4422 4.9781 5.4516" Properties=species:S:1:pos:R:3 pbc="T T T"
Hg 1.1694 -0.1718 3.1872
Li 3.5082 -0.5153 9.5615
Sr 1.2879 -5.5243 7.3337
Sr 2.2862 -0.4845 6.3377
```

Calculated values
Density of states at the Fermi level in states/eV/f.u.: 3.229
Raw total energy in eV/atom: -1.52
M_tot in μB/atom: 0.000
Formation energy in meV per atom: -125

***

# 2
A plane-wave DFT calculation with PBE-GGA was carried out for a relaxed structure of Sr3Li2Hg9.

```
14
Lattice="4.5455 0.0000 1.2209 1.7317 8.8018 2.6247 -0.0737 0.0363 9.3462" Properties=species:S:1:pos:R:3 pbc="T T T"
Sr 0.0000 0.0000 0.0000
Sr 3.6857 2.6317 4.4220
Sr 2.5179 6.2063 8.7699
Li 2.7595 2.7572 7.8703
Li 3.4441 6.0809 5.3216
Hg 0.8290 4.4190 5.9855
Hg 4.6114 8.6891 10.0476
Hg 1.5922 0.1489 3.1442
Hg 4.1227 6.3165 11.8670
Hg 2.0809 2.5215 1.3249
Hg 5.3772 7.4342 7.1964
Hg 0.8264 1.4038 5.9954
Hg 4.6133 3.7255 10.0403
Hg 1.5902 5.1125 3.1515
```

Calculated values
Density of states at the Fermi level in states/eV/f.u.: 6.910
Raw total energy in eV/atom: -1.23
M_tot in μB/atom: 0.000
Formation energy in meV per atom: -400

***

# 3
A plane-wave DFT calculation with PBE-GGA was carried out for a relaxed structure of Sr4LiHg.

```
6
Lattice="2.4680 4.2841 5.8047 -4.2748 0.7543 6.2687 2.1769 -3.3017 6.5191" Properties=species:S:1:pos:R:3 pbc="T T T"
Sr 1.3736 2.7947 9.8750
Sr 1.2280 -1.0009 10.2324
Sr -2.0001 1.0286 10.1071
Sr 0.1388 0.6511 6.9706
Li 0.0000 0.0000 0.0000
Hg 0.2776 1.3026 13.9444
```

Calculated values
Density of states at the Fermi level in states/eV/f.u.: 8.447
Raw total energy in eV/atom: -1.15
M_tot in μB/atom: 0.000
Formation energy in meV per atom: 337

***

# 4
A plane-wave DFT calculation with PBE-GGA was carried out for a relaxed structure of SrLi8Hg4.

```
13
Lattice="5.4481 0.0000 2.1899 2.7240 6.8605 1.0949 0.1654 0.0000 7.4605" Properties=species:S:1:pos:R:3 pbc="T T T"
Sr 0.0000 0.0000 0.0000
Li 1.0612 2.4019 5.2319
Li 1.8283 4.4587 3.3235
Li 3.7852 4.4587 6.3268
Li 4.5523 2.4019 4.4184
Li 4.8689 5.3075 3.6308
Li 3.4686 1.5530 7.1145
Li 2.1449 1.5530 2.5359
Li 6.1927 5.3075 8.2094
Hg 0.0827 0.0000 3.7302
Hg 2.8067 0.0000 4.8252
Hg 1.3620 3.4303 0.5475
Hg 4.0861 3.4303 1.6424
```

Calculated values
Density of states at the Fermi level in states/eV/f.u.: 6.367
Raw total energy in eV/atom: -1.67
M_tot in μB/atom: 0.000
Formation energy in meV per atom: -271

***

# 5
A plane-wave DFT calculation with PBE-GGA was carried out for a relaxed structure of Sr3Li7Hg4.

```
14
Lattice="-4.4567 0.1244 1.8614 -1.9325 -8.4523 2.2083 1.1275 -1.1886 9.0492" Properties=species:S:1:pos:R:3 pbc="T T T"
Sr -1.5192 -1.8558 2.7567
Sr -3.7424 -7.6607 10.3622
Sr -0.4025 -4.8204 5.6288
Li -2.4541 -7.7262 7.1809
Li -1.7597 -2.6893 8.5069
Li -3.5044 -4.1393 10.6966
Li -2.8075 -1.7903 5.9380
Li -1.7572 -5.3771 2.4223
Li 0.0000 0.0000 0.0000
Li -3.5020 -6.8272 4.6120
Hg -3.6114 -4.0977 4.1675
Hg -1.6502 -5.4188 8.9514
Hg -5.3303 -7.9099 6.5770
Hg 0.0687 -1.6065 6.5419
```

Calculated values
Density of states at the Fermi level in states/eV/f.u.: 8.028
Raw total energy in eV/atom: -1.71
M_tot in μB/atom: 0.000
Formation energy in meV per atom: -310

***

# 6
A plane-wave DFT calculation with PBE-GGA was carried out for a relaxed structure of SrLi12Hg4.

```
17
Lattice="8.0560 0.0000 0.0000 -2.6853 7.5953 0.0000 -2.6853 -3.7977 6.5777" Properties=species:S:1:pos:R:3 pbc="T T T"
Sr 0.0000 0.0000 0.0000
Li 5.2753 1.9663 1.2385
Li 1.0112 3.3069 1.0836
Li 4.3595 -1.2058 4.2557
Li 0.0954 -1.7420 5.4941
Li -1.6742 5.0034 2.3221
Li 1.6742 0.4907 5.4941
Li 2.7807 -0.0894 2.3221
Li -0.0954 3.8871 4.2557
Li 2.5900 5.5397 1.0836
Li 3.6965 3.0826 3.1721
Li -1.0112 0.7150 3.4057
Li -2.5900 1.8314 5.3393
Hg -1.3427 3.7977 0.0000
Hg 4.0280 0.0000 0.0000
Hg 1.3427 1.8988 3.2889
Hg -1.3427 -1.8988 3.2889
```

Calculated values
Density of states at the Fermi level in states/eV/f.u.: 6.949
Raw total energy in eV/atom: -1.60
M_tot in μB/atom: 0.000
Formation energy in meV per atom: -76

***

# 7
A plane-wave DFT calculation with PBE-GGA was carried out for a relaxed structure of Sr3LiHg8.

```
12
Lattice="7.8760 -0.1313 -0.2087 -3.2376 7.1810 0.2087 -3.2376 -2.9206 6.5635" Properties=species:S:1:pos:R:3 pbc="T T T"
Sr 0.7004 4.5899 1.6930
Sr 0.7004 -0.4608 4.8705
Sr -3.2376 2.1302 3.3861
Li 0.0000 0.0000 0.0000
Hg 2.4652 0.6343 1.0082
Hg -0.2781 2.9774 4.7329
Hg -3.6308 5.1834 2.0393
Hg -3.6308 -0.4056 5.5553
Hg -0.1303 1.4121 2.2447
Hg 5.3095 0.2310 0.3671
Hg -5.1268 2.0468 6.1964
Hg -5.1268 4.6996 4.5275
```

Calculated values
Density of states at the Fermi level in states/eV/f.u.: 7.058
Raw total energy in eV/atom: -1.09
M_tot in μB/atom: 0.000
Formation energy in meV per atom: -313

***

# 8
A plane-wave DFT calculation with PBE-GGA was carried out for a relaxed structure of SrLi2Hg4.

```
7
Lattice="4.6002 0.0000 -1.0488 -0.1893 3.5543 -0.8304 -0.0236 0.5746 10.5091" Properties=species:S:1:pos:R:3 pbc="T T T"
Sr 2.3001 0.0000 -0.5244
Li 3.5415 3.2174 4.9206
Li 0.8457 0.9116 3.7094
Hg 2.9484 2.5780 2.3189
Hg 1.4389 1.5510 6.3110
Hg 0.2535 2.1525 1.1120
Hg 4.1337 1.9765 7.5180
```

Calculated values
Density of states at the Fermi level in states/eV/f.u.: 2.137
Raw total energy in eV/atom: -1.31
M_tot in μB/atom: 0.000
Formation energy in meV per atom: -347

***

Which value of raw total energy does entry 5 give?
-1.71 eV/atom